Density functional theory data (PBE) for RbOsI2N after structural relaxation.

Structure (POSCAR):
```
RbOsI2N
1.0
-6.681 0.138 -1.199
0.923 -3.763 -5.575
-0.619 -4.493 2.930
I Rb Os N
2 1 1 1
Direct
0.500 0.000 0.000
0.000 0.500 0.000
0.000 0.000 0.000
0.500 0.500 0.500
0.000 0.000 0.500
```

Summary:
Uncorrected formation energy   2.15 eV/atom
DOS at the Fermi energy   6.867 states/eV/cell